Density functional theory data (PBE) for crystalline HfMgHgPt at its relaxed geometry.

It has space group F-43m (No. 216), with a = 6.6998 Å, b = 6.6998 Å, c = 6.6998 Å, α = 90.00°, β = 90.00° and γ = 90.00°. The asymmetric unit holds Hf at (0.0000, 0.0000, 0.0000), Mg at (0.0000, 0.0000, 0.5000), Hg at (0.2500, 0.2500, 0.2500) and Pt at (0.2500, 0.2500, 0.7500).

The formation enthalpy at 0 K comes out at -0.5522 eV/atom.

***

Density functional theory data (PBE) for crystalline RbZrB at its relaxed geometry.

It has space group P1 (No. 1), with a = 3.6628 Å, b = 4.5321 Å, c = 12.6798 Å, α = 90.18°, β = 91.21° and γ = 113.82°. The asymmetric unit holds Rb at (0.0000, 0.0000, 0.0000), Rb at (0.2215, 0.5403, 0.3547), Zr at (0.2449, 0.5290, 0.7464), Zr at (0.5102, 0.0820, 0.5958), B at (0.7953, 0.6472, 0.6303) and B at (0.9592, 0.9629, 0.7099).

The formation enthalpy at 0 K comes out at 0.1324 eV/atom. For the energy above the most stable polymorph in this dataset, the calculation gives 3.08 kcal/mol of atoms.

***

Density functional theory data (PBE) for crystalline Sc2S3 at its relaxed geometry.

It has space group C2/m (No. 12), with a = 6.4101 Å, b = 11.0883 Å, c = 6.3894 Å, α = 90.00°, β = 109.54° and γ = 90.00°. The asymmetric unit holds Sc at (0.0000, 0.0000, 0.0000), Sc at (0.0000, 0.1669, 0.5000), Sc at (0.0000, 0.5000, 0.5000), S at (0.2388, 0.0000, 0.7451) and S at (0.2486, 0.1623, 0.2589).

Its final energy is -6.92 eV per atom.

***

Density functional theory data (PBE) for crystalline Cs6AgAu3 at its relaxed geometry.

It has space group P2_1/m (No. 11), with a = 14.6901 Å, b = 5.2522 Å, c = 15.2266 Å, α = 90.00°, β = 108.28° and γ = 90.00°. The asymmetric unit holds Cs at (0.0233, 0.2500, 0.3873), Cs at (0.1055, 0.2500, 0.9399), Cs at (0.2343, 0.7500, 0.2712), Cs at (0.3006, 0.7500, 0.7532), Cs at (0.3792, 0.2500, 0.5360), Cs at (0.4200, 0.7500, 0.0957), Ag at (0.4512, 0.2500, 0.3044), Au at (0.0634, 0.2500, 0.1639), Au at (0.1902, 0.7500, 0.4972) and Au at (0.3438, 0.2500, 0.9219).

The formation enthalpy at 0 K comes out at -0.1860 eV/atom.

***

Number 1: size of the total moment 0.0 μB/f.u., V 75.2 Å³/f.u.. Number 2: size of the total moment 0.3 μB/f.u., V 96.3 Å³/f.u.. Number 3: size of the total moment 0.0 μB/f.u., V 107.0 Å³/f.u.. Number 4: size of the total moment 0.0 μB/f.u., V 557.8 Å³/f.u..